[1]
{"formula": "Rb2As2Ru", "functional": "PBE-GGA", "state": "relaxed", "lattice_angstrom": [[-4.979, 1.328, -3.999], [-4.045, 0.224, 5.112], [1.063, 5.756, 0.589]], "species": ["As", "As", "As", "As", "Ru", "Ru", "Rb", "Rb", "Rb", "Rb"], "frac_coords": [[0.357, 0.857, 0.000], [0.857, 0.643, 0.000], [0.143, 0.357, 0.000], [0.643, 0.143, 0.000], [0.500, 0.500, 0.000], [0.000, 0.000, 0.000], [0.321, 0.179, 0.500], [0.179, 0.679, 0.500], [0.821, 0.321, 0.500], [0.679, 0.821, 0.500]], "e_tot_ev_per_atom": -4.221, "n_ef_per_ev_fu": 0.00, "e_form_ev_per_atom": -0.119}

***

[2]
{"formula": "RbAs2Ru", "functional": "PBE-GGA", "state": "relaxed", "lattice_angstrom": [[1.520, -3.346, -3.109], [-2.573, -4.014, -0.665], [-2.359, -0.689, -4.139]], "species": ["Rb", "As", "As", "Ru"], "frac_coords": [[0.000, 0.000, 0.000], [0.750, 0.750, 0.750], [0.250, 0.250, 0.250], [0.500, 0.500, 0.500]], "e_tot_ev_per_atom": -4.277, "relative_energy_kj_per_mol_fu": 288.0, "n_ef_per_ev_fu": 2.37, "e_form_ev_per_atom": 0.608}

***

[3]
{"formula": "RbAs2Ru", "functional": "PBE-GGA", "state": "relaxed", "lattice_angstrom": [[-2.454, 3.111, -1.264], [-3.565, 0.779, 1.996], [1.179, 5.460, 4.308]], "species": ["Rb", "As", "As", "Ru"], "frac_coords": [[0.500, 0.500, 0.500], [0.708, 0.708, 0.877], [0.292, 0.292, 0.123], [0.000, 0.000, 0.000]], "e_tot_ev_per_atom": -5.024, "relative_energy_kj_per_mol_fu": 0.0, "n_ef_per_ev_fu": 4.11, "e_form_ev_per_atom": -0.138}

***

[4]
{"formula": "RbAs2Ru", "functional": "PBE-GGA", "state": "relaxed", "lattice_angstrom": [[-6.327, 0.761, -3.415], [-3.437, -2.663, 5.776], [-5.321, 3.554, 2.997]], "species": ["As", "As", "As", "As", "Ru", "Ru", "Rb", "Rb"], "frac_coords": [[0.990, 0.625, 0.250], [0.875, 0.010, 0.750], [0.760, 0.125, 0.250], [0.375, 0.240, 0.750], [0.750, 0.250, 0.500], [0.000, 0.000, 0.000], [0.250, 0.750, 0.500], [0.500, 0.500, 0.000]], "e_tot_ev_per_atom": -4.988, "relative_energy_kj_per_mol_fu": 13.7, "n_ef_per_ev_fu": 2.56, "e_form_ev_per_atom": -0.102}

***

[5]
{"formula": "RbAs2RuSe", "functional": "PBE-GGA", "state": "relaxed", "lattice_angstrom": [[5.338, 0.000, 0.000], [0.000, 5.338, 0.000], [0.000, 0.000, 5.469]], "species": ["Se", "Rb", "As", "As", "Ru"], "frac_coords": [[0.000, 0.000, 0.500], [0.000, 0.000, 0.000], [0.500, 0.000, 0.000], [0.000, 0.500, 0.000], [0.500, 0.500, 0.500]], "e_tot_ev_per_atom": -2.349, "relative_energy_kj_per_mol_fu": 1074.2, "e_form_raw_ev_per_fu": 11.28, "n_ef_per_ev_fu": 8.40}

***

[6]
{"formula": "RbAs2RuSe", "functional": "PBE-GGA", "state": "relaxed", "lattice_angstrom": [[4.746, 0.000, 0.000], [0.000, 4.746, 0.000], [0.000, 0.000, 5.780]], "species": ["Se", "As", "As", "Ru", "Rb"], "frac_coords": [[0.000, 0.000, 0.500], [0.500, 0.000, 0.000], [0.000, 0.500, 0.000], [0.000, 0.000, 0.000], [0.500, 0.500, 0.500]], "e_tot_ev_per_atom": -4.576, "relative_energy_kj_per_mol_fu": 0.0, "e_form_raw_ev_per_fu": 0.15, "n_ef_per_ev_fu": 5.03}

***

[7]
{"formula": "RbSr2AsRu", "functional": "PBE-GGA", "state": "relaxed", "lattice_angstrom": [[5.981, 0.000, 0.000], [0.000, 4.828, 0.000], [0.000, 0.000, 5.981]], "species": ["Sr", "Sr", "Ru", "Rb", "As"], "frac_coords": [[0.500, 0.000, 0.000], [0.000, 0.000, 0.500], [0.000, 0.000, 0.000], [0.500, 0.500, 0.500], [0.000, 0.500, 0.000]], "e_tot_ev_per_atom": -3.714, "n_ef_per_ev_fu": 3.02, "e_form_ev_per_atom": -0.063}

***

[8]
{"formula": "RbZn2AsRu", "functional": "PBE-GGA", "state": "relaxed", "lattice_angstrom": [[5.039, 0.000, 0.000], [0.000, 5.039, 0.000], [0.000, 0.000, 4.676]], "species": ["Ru", "Zn", "Zn", "As", "Rb"], "frac_coords": [[0.000, 0.000, 0.000], [0.500, 0.000, 0.000], [0.000, 0.500, 0.000], [0.000, 0.000, 0.500], [0.500, 0.500, 0.500]], "e_tot_ev_per_atom": -3.583, "n_ef_per_ev_fu": 1.71, "e_form_ev_per_atom": -0.095}

***

[9]
{"formula": "RbAs6S8", "functional": "PBE-GGA", "state": "relaxed", "lattice_angstrom": [[-6.163, 4.835, -0.668], [-2.905, -4.450, -5.793], [-3.979, -4.293, 5.248]], "species": ["As", "As", "As", "As", "As", "As", "S", "S", "S", "S", "S", "S", "S", "S", "Rb"], "frac_coords": [[0.797, 0.551, 0.450], [0.450, 0.797, 0.551], [0.449, 0.550, 0.203], [0.550, 0.203, 0.449], [0.203, 0.449, 0.550], [0.551, 0.450, 0.797], [0.681, 0.427, 0.092], [0.299, 0.299, 0.299], [0.092, 0.681, 0.427], [0.573, 0.908, 0.319], [0.908, 0.319, 0.573], [0.427, 0.092, 0.681], [0.319, 0.573, 0.908], [0.701, 0.701, 0.701], [0.000, 0.000, 0.000]], "e_tot_ev_per_atom": -4.226, "e_form_raw_ev_per_fu": -1.51, "n_ef_per_ev_fu": 3.93}

***

[10]
{"formula": "RbAs3S", "functional": "PBE-GGA", "state": "relaxed", "lattice_angstrom": [[5.893, 0.000, 0.000], [0.000, 5.893, 0.000], [0.000, 0.000, 5.893]], "species": ["S", "Rb", "As", "As", "As"], "frac_coords": [[0.500, 0.500, 0.500], [0.000, 0.000, 0.000], [0.000, 0.000, 0.500], [0.500, 0.000, 0.000], [0.000, 0.500, 0.000]], "e_tot_ev_per_atom": -1.730, "relative_energy_kj_per_mol_fu": 794.1, "e_form_raw_ev_per_fu": 10.39, "n_ef_per_ev_fu": 7.88}

***

[11]
{"formula": "RbAsS", "functional": "PBE-GGA", "state": "relaxed", "lattice_angstrom": [[7.558, -0.425, -0.052], [1.377, 4.580, 0.076], [1.303, 1.240, 7.162]], "species": ["Rb", "Rb", "As", "As", "S", "S"], "frac_coords": [[0.742, 0.546, 0.501], [0.242, 0.547, 0.001], [0.341, 0.212, 0.486], [0.143, 0.882, 0.517], [0.001, 0.037, 0.262], [0.483, 0.056, 0.740]], "e_tot_ev_per_atom": -3.870, "relative_energy_kj_per_mol_fu": 14.5, "e_form_raw_ev_per_fu": -1.87, "n_ef_per_ev_fu": 0.15}

***

[12]
{"formula": "RbAsS", "functional": "PBE-GGA", "state": "relaxed", "lattice_angstrom": [[-2.883, 2.929, -0.019], [-1.984, -1.989, -4.639], [-6.170, -6.733, 1.689]], "species": ["As", "As", "S", "S", "Rb", "Rb"], "frac_coords": [[0.223, 0.309, 0.653], [0.709, 0.107, 0.554], [0.675, 0.352, 0.305], [0.258, 0.064, 0.902], [0.176, 0.859, 0.288], [0.757, 0.557, 0.919]], "e_tot_ev_per_atom": -3.921, "relative_energy_kj_per_mol_fu": 0.0, "e_form_raw_ev_per_fu": -2.02, "n_ef_per_ev_fu": 0.10}

***

V, record by record: 250.3; 78.9; 99.4; 254.9; 155.8; 130.2; 172.7; 118.7; 485.8; 204.6; 251.6; 193.4 Å³ per cell